{"formula": "GeTe3As", "functional": "PBE", "state": "optimized geometry", "sg": "No. 11", "e_above_lowest_polymorph_mev_per_atom": 121.2, "dos_at_fermi_per_ev_cell": 5.45, "dft_energy_ev_per_atom": -3.6179, "lattice_angstrom": [[6.597, 0.000, 0.000], [0.000, 5.038, 0.000], [-2.004, 0.000, 11.554]], "species": ["Ge", "Ge", "Te", "Te", "Te", "Te", "Te", "Te", "As", "As"], "frac_coords": [[0.034, 0.250, 0.289], [0.966, 0.750, 0.711], [0.141, 0.250, 0.613], [0.250, 0.750, 0.271], [0.290, 0.750, 0.898], [0.710, 0.250, 0.102], [0.750, 0.250, 0.729], [0.859, 0.750, 0.387], [0.386, 0.250, 0.816], [0.614, 0.750, 0.184]]}